# 1
Computed, not measured: crystalline Sn2AsH at its relaxed geometry at the PBE level of DFT.

It has space group I-42d (No. 122), with a = 5.822 Å, b = 5.822 Å, c = 11.128 Å, α = 90.00°, β = 90.00° and γ = 90.00°. The asymmetric unit holds Sn at (0.171, 0.250, 0.125), As at (0.000, 0.000, 0.500) and H at (0.000, 0.000, 0.000).

The relative energy among the computed polymorphs is 0.000 eV/atom.


# 2
Computed, not measured: crystalline SnAsH at its relaxed geometry at the PBE level of DFT.

It has space group P-1 (No. 2), with a = 3.997 Å, b = 4.023 Å, c = 9.108 Å, α = 98.75°, β = 99.12° and γ = 91.37°. The asymmetric unit holds Sn at (0.203, 0.206, 0.375), As at (0.320, 0.316, 0.687) and H at (0.053, 0.060, 0.984).

The relative energy among the computed polymorphs is 0.032 eV/atom.


# 3
Computed, not measured: crystalline Sn3As3H at its relaxed geometry at the PBE level of DFT.

It has space group P-1 (No. 2), with a = 5.768 Å, b = 7.033 Å, c = 8.883 Å, α = 111.20°, β = 108.80° and γ = 90.58°. The asymmetric unit holds Sn at (0.043, 0.326, 0.080), Sn at (0.282, 0.370, 0.567), Sn at (0.383, 0.964, 0.765), As at (0.117, 0.043, 0.233), As at (0.214, 0.665, 0.424), As at (0.467, 0.635, 0.933) and H at (0.326, 0.154, 0.658).

Its total energy is -57.7 eV for the cell shown.


# 4
Computed, not measured: crystalline SnAsH at its relaxed geometry at the PBE level of DFT.

It has space group C2/m (No. 12), with a = 10.928 Å, b = 4.116 Å, c = 7.146 Å, α = 90.00°, β = 115.73° and γ = 90.00°. The asymmetric unit holds Sn at (0.019, 0.000, 0.315), As at (0.093, 0.500, 0.942) and H at (0.192, 0.000, 0.378).

The relative energy among the computed polymorphs is 0.143 eV/atom.


# 5
Computed, not measured: crystalline Sn2AsH at its relaxed geometry at the PBE level of DFT.

It has space group Fm-3m (No. 225), with a = 6.891 Å, b = 6.891 Å, c = 6.891 Å, α = 90.00°, β = 90.00° and γ = 90.00°. The asymmetric unit holds Sn at (0.250, 0.250, 0.250), As at (0.000, 0.000, 0.000) and H at (0.000, 0.000, 0.500).

The relative energy among the computed polymorphs is 0.105 eV/atom.


# 6
Computed, not measured: crystalline SnAsH2 at its relaxed geometry at the PBE level of DFT.

It has space group Fm-3m (No. 225), with a = 5.896 Å, b = 5.896 Å, c = 5.896 Å, α = 90.00°, β = 90.00° and γ = 90.00°. The asymmetric unit holds Sn at (0.000, 0.000, 0.000), As at (0.000, 0.000, 0.500) and H at (0.250, 0.250, 0.250).

The relative energy among the computed polymorphs is 0.489 eV/atom.


# 7
Computed, not measured: crystalline SnAsH at its relaxed geometry at the PBE level of DFT.

It has space group P-6m2 (No. 187), with a = 3.8161 Å, b = 3.8161 Å, c = 4.0558 Å, α = 90.00°, β = 90.00° and γ = 120.00°. The asymmetric unit holds Sn at (0.0000, 0.0000, 0.0000), As at (0.6667, 0.3333, 0.5000) and H at (0.3333, 0.6667, 0.5000).

The relative energy among the computed polymorphs is 0.478 eV/atom.


# 8
Computed, not measured: crystalline SnAsH at its relaxed geometry at the PBE level of DFT.

It has space group I4mm (No. 107), with a = 4.109 Å, b = 4.109 Å, c = 6.663 Å, α = 90.00°, β = 90.00° and γ = 90.00°. The asymmetric unit holds Sn at (0.000, 0.000, 0.000), As at (0.000, 0.000, 0.556) and H at (0.000, 0.000, 0.297).

The relative energy among the computed polymorphs is 0.197 eV/atom.


# 9
Computed, not measured: crystalline SnAsH2 at its relaxed geometry at the PBE level of DFT.

It has space group P-1 (No. 2), with a = 4.430 Å, b = 4.781 Å, c = 8.018 Å, α = 74.50°, β = 74.08° and γ = 89.98°. The asymmetric unit holds Sn at (0.100, 0.050, 0.297), As at (0.379, 0.584, 0.744), H at (0.282, 0.373, 0.937) and H at (0.425, 0.338, 0.649).

The relative energy among the computed polymorphs is 0.004 eV/atom.


# 10
Computed, not measured: crystalline SnAsH2 at its relaxed geometry at the PBE level of DFT.

It has space group P2_1/c (No. 14), with a = 6.655 Å, b = 5.636 Å, c = 9.016 Å, α = 90.00°, β = 112.25° and γ = 90.00°. The asymmetric unit holds Sn at (0.216, 0.192, 0.287), As at (0.120, 0.638, 0.960), H at (0.344, 0.079, 0.917) and H at (0.397, 0.073, 0.211).

The relative energy among the computed polymorphs is 0.000 eV/atom.


# 11
Computed, not measured: crystalline Tc2SnAsH at its relaxed geometry at the PBE level of DFT.

It has space group P4/mmm (No. 123), with a = 5.001 Å, b = 5.001 Å, c = 3.377 Å, α = 90.00°, β = 90.00° and γ = 90.00°. The asymmetric unit holds Tc at (0.000, 0.500, 0.000), Sn at (0.000, 0.000, 0.000), As at (0.500, 0.500, 0.500) and H at (0.000, 0.000, 0.500).

Its total energy is -26.3 eV for the cell shown.


# 12
Computed, not measured: crystalline SrAsH at its relaxed geometry at the PBE level of DFT.

It has space group R3m (No. 160, hexagonal axes), with a = 4.7787 Å, b = 4.7787 Å, c = 10.2127 Å, α = 90.00°, β = 90.00° and γ = 120.00°. The asymmetric unit holds Sr at (0.0000, 0.0000, 0.0000), As at (0.0000, 0.0000, 0.5006) and H at (0.0000, 0.0000, 0.3470).

The relative energy among the computed polymorphs is 0.001 eV/atom.


What is the formula in the eleventh record? Tc2SnAsH